Entry 1:
First-principles (PBE) data for a geometry-optimized La6Tb2Pr structure, as listed in Alexandria.

It has space group C2/m (No. 12), with a = 9.5010 Å, b = 18.2760 Å, c = 3.7231 Å, α = 90.00°, β = 99.15° and γ = 90.00°. The inequivalent atoms are La at (0.1659, 0.0000, 0.3154), La at (0.1700, 0.1715, 0.8236), Tb at (0.0000, 0.3356, 0.5000) and Pr at (0.0000, 0.5000, 0.0000).

For the energy of formation, the calculation gives 0.8 eV per formula unit.



Entry 2:
First-principles (PBE) data for a geometry-optimized La6Tb8Pr structure, as listed in Alexandria.

It has space group R-3 (No. 148, hexagonal axes), with a = 9.1898 Å, b = 9.1898 Å, c = 21.3149 Å, α = 90.00°, β = 90.00° and γ = 120.00°. The inequivalent atoms are La at (0.0527, 0.2462, 0.2125), Tb at (0.0000, 0.0000, 0.0768), Tb at (0.0795, 0.5675, 0.3063) and Pr at (0.0000, 0.0000, 0.5000).

For the energy of formation, the calculation gives 1.7 eV per formula unit.



Entry 3:
First-principles (PBE) data for a geometry-optimized La6Tb5Pr2 structure, as listed in Alexandria.

It has space group Pbam (No. 55), with a = 12.0530 Å, b = 20.8682 Å, c = 3.6772 Å, α = 90.00°, β = 90.00° and γ = 90.00°. The inequivalent atoms are La at (0.0508, 0.0780, 0.0000), La at (0.0758, 0.3639, 0.0000), La at (0.1824, 0.6254, 0.5000), Tb at (0.0000, 0.5000, 0.5000), Tb at (0.0934, 0.2225, 0.5000), Tb at (0.2054, 0.9435, 0.5000) and Pr at (0.1662, 0.7839, 0.0000).

For the energy of formation, the calculation gives 1.4 eV per formula unit.



Entry 4:
First-principles (PBE) data for a geometry-optimized LaTb3Pr6 structure, as listed in Alexandria.

It has space group R32 (No. 155, hexagonal axes), with a = 10.0965 Å, b = 10.0965 Å, c = 12.0792 Å, α = 90.00°, β = 90.00° and γ = 120.00°. The inequivalent atoms are La at (0.0000, 0.0000, 0.0000), Tb at (0.0000, 0.0000, 0.2529), Tb at (0.0000, 0.0000, 0.5000), Pr at (0.0000, 0.3285, 0.0000) and Pr at (0.0000, 0.6749, 0.5000).

For the energy of formation, the calculation gives 2.2 eV per formula unit.